1.
The following is a GGA-PBE calculation of a relaxed Bi2RhI crystal, from Alexandria via LeMat-Bulk.

Cell and atoms, written as CIF:
```
data_Bi2RhI
_chemical_formula_sum 'Bi4 Rh2 I2'
_space_group_name_H-M_alt 'P 1'
_space_group_IT_number 1
_cell_length_a 7.013
_cell_length_b 7.013
_cell_length_c 7.962
_cell_angle_alpha 63.87
_cell_angle_beta 63.87
_cell_angle_gamma 90.00
loop_
_space_group_symop_operation_xyz
'x,y,z'
loop_
_atom_site_label
_atom_site_type_symbol
_atom_site_fract_x
_atom_site_fract_y
_atom_site_fract_z
Bi1 Bi 0.375 0.470 0.750
I1 I 0.750 0.250 0.500
Bi2 Bi 0.530 0.125 0.250
Bi3 Bi 0.220 0.625 0.250
Rh1 Rh 0.500 0.500 0.000
I2 I 0.000 0.000 0.000
Bi4 Bi 0.875 0.780 0.750
Rh2 Rh 0.250 0.750 0.500
```

Calculated values
- SG: I-42d (122)
- Energy relative to the elements, uncorrected: 0.117 eV/atom
- E above lowest polymorph: 0.258 eV per atom
- Fermi-level density of states: 1.94 states/eV/cell

=====

2.
The following is a GGA-PBE calculation of a relaxed BiRhI3 crystal, from Alexandria via LeMat-Bulk.

Cell and atoms, written as CIF:
```
data_BiRhI3
_chemical_formula_sum 'Bi1 Rh1 I3'
_space_group_name_H-M_alt 'P 1'
_space_group_IT_number 1
_cell_length_a 5.378
_cell_length_b 5.378
_cell_length_c 5.378
_cell_angle_alpha 90.00
_cell_angle_beta 90.00
_cell_angle_gamma 90.00
loop_
_space_group_symop_operation_xyz
'x,y,z'
loop_
_atom_site_label
_atom_site_type_symbol
_atom_site_fract_x
_atom_site_fract_y
_atom_site_fract_z
Bi1 Bi 0.500 0.500 0.500
I1 I 0.000 0.000 0.500
I2 I 0.500 0.000 0.000
I3 I 0.000 0.500 0.000
Rh1 Rh 0.000 0.000 0.000
```

Calculated values
- SG: Pm-3m (221)
- Energy relative to the elements, uncorrected: 0.173 eV/atom
- E above lowest polymorph: 0.000 eV per atom
- Fermi-level density of states: 2.28 states/eV/cell